{"formula": "V2OF8", "functional": "GGA+U", "state": "relaxed", "cell": [[-5.1616, 1.1093, -0.9228], [-1.8875, -8.6015, 0.2178], [-3.1363, -2.6011, 14.4151]], "species": ["V", "V", "V", "V", "V", "V", "V", "V", "O", "O", "O", "O", "F", "F", "F", "F", "F", "F", "F", "F", "F", "F", "F", "F", "F", "F", "F", "F", "F", "F", "F", "F", "F", "F", "F", "F", "F", "F", "F", "F", "F", "F", "F", "F"], "frac_coords": [[0.7796, 0.9122, 0.8768], [0.2204, 0.9122, 0.3768], [0.0613, 0.5483, 0.8392], [0.0613, 0.4517, 0.6608], [0.9387, 0.5483, 0.3392], [0.9387, 0.4517, 0.1608], [0.7796, 0.0878, 0.6232], [0.2204, 0.0878, 0.1232], [0.9282, 0.7065, 0.8596], [0.0718, 0.7065, 0.3596], [0.9282, 0.2935, 0.6404], [0.0718, 0.2935, 0.1404], [0.9134, 0.0000, 0.7500], [0.0868, 0.9448, 0.9111], [0.6751, 0.8161, 0.9856], [0.5232, 0.8564, 0.8176], [0.6670, 0.9031, 0.6213], [0.0866, 0.0000, 0.2500], [0.9132, 0.9448, 0.4111], [0.3249, 0.8161, 0.4856], [0.4768, 0.8564, 0.3176], [0.3330, 0.9031, 0.1213], [0.1985, 0.6408, 0.7224], [0.3515, 0.5402, 0.8940], [0.9176, 0.6028, 0.5786], [0.8127, 0.5000, 0.7500], [0.8015, 0.6408, 0.2224], [0.9176, 0.3972, 0.9214], [0.6485, 0.5402, 0.3940], [0.3515, 0.4598, 0.6060], [0.0824, 0.6028, 0.0786], [0.1985, 0.3592, 0.7776], [0.1873, 0.5000, 0.2500], [0.0824, 0.3972, 0.4214], [0.6485, 0.4598, 0.1060], [0.8015, 0.3592, 0.2776], [0.6670, 0.0969, 0.8787], [0.5232, 0.1436, 0.6824], [0.6751, 0.1839, 0.5144], [0.0868, 0.0552, 0.5889], [0.3330, 0.0969, 0.3787], [0.4768, 0.1436, 0.1824], [0.3249, 0.1839, 0.0144], [0.9132, 0.0552, 0.0889]], "dos_ef_per_ev_fu": 0.000, "polymorph_energy_mev_per_atom": 0, "crystal_system": "monoclinic", "e_tot_ev_per_cell": -244.200, "magmom_total_mub_per_cell": 0.18}